[1]
Material: Li3HgB
Method: DFT, PBE-GGA
State: relaxed

```
Li3HgB
1.0
4.8534 0.0000 0.0000
0.0000 4.8534 0.0000
0.0000 0.0000 4.8534
Li Hg B
3 1 1
direct
0.0000 0.0000 0.5000
0.0000 0.5000 0.0000
0.5000 0.0000 0.0000
0.0000 0.0000 0.0000
0.5000 0.5000 0.5000
```

Properties
**Symmetry**: Pm-3m (221)
**Crystal system**: cubic
**Distance to the lowest polymorph of the same formula**: 13.82 kcal/mol of atoms
**E**: -0.119 Ry per atom
**DFT formation energy**: 0.9278 eV per atom

[2]
Material: Ce4Pd7Pt6
Method: DFT, PBE-GGA
State: relaxed

```
Ce4Pd7Pt6
1.0
-4.3016 4.3016 4.3016
4.3016 -4.3016 4.3016
4.3016 4.3016 -4.3016
Ce Pd Pt
4 7 6
direct
0.0000 0.0000 0.5000
0.0000 0.5000 0.0000
0.5000 0.0000 0.0000
0.5000 0.5000 0.5000
0.0000 0.0000 0.0000
0.2500 0.5000 0.7500
0.2500 0.7500 0.5000
0.5000 0.2500 0.7500
0.5000 0.7500 0.2500
0.7500 0.2500 0.5000
0.7500 0.5000 0.2500
0.0000 0.2992 0.2992
0.0000 0.7008 0.7008
0.2992 0.0000 0.2992
0.2992 0.2992 0.0000
0.7008 0.0000 0.7008
0.7008 0.7008 0.0000
```

Properties
**Symmetry**: Im-3m (229)
**Crystal system**: cubic
**E**: -0.474 Ry per atom
**DFT formation energy**: -0.7782 eV per atom

[3]
Material: KTlI2
Method: DFT, PBE-GGA
State: relaxed

```
KTlI2
1.0
6.0553 0.0000 0.0000
0.0000 6.0553 0.0000
0.0000 0.0000 4.2964
K Tl I
1 1 2
direct
0.0000 0.0000 0.0000
0.5000 0.5000 0.0000
0.0000 0.5000 0.5000
0.5000 0.0000 0.5000
```

Properties
**Symmetry**: P4/mmm (123)
**Crystal system**: tetragonal
**Distance to the lowest polymorph of the same formula**: 1.24 kcal/mol of atoms
**E**: -0.195 Ry per atom
**ΔE_f (raw)**: -1.02 eV/atom

What did the third record say?
Material: KTlI2
Method: DFT, PBE-GGA
State: relaxed

```
KTlI2
1.0
6.0553 0.0000 0.0000
0.0000 6.0553 0.0000
0.0000 0.0000 4.2964
K Tl I
1 1 2
direct
0.0000 0.0000 0.0000
0.5000 0.5000 0.0000
0.0000 0.5000 0.5000
0.5000 0.0000 0.5000
```

Properties
**Symmetry**: P4/mmm (123)
**Crystal system**: tetragonal
**Distance to the lowest polymorph of the same formula**: 1.24 kcal/mol of atoms
**E**: -0.195 Ry per atom
**ΔE_f (raw)**: -1.02 eV/atom

What is the E in the third record? -0.195 Ry per atom

Please write out number 1 again, unchanged.
Material: Li3HgB
Method: DFT, PBE-GGA
State: relaxed

```
Li3HgB
1.0
4.8534 0.0000 0.0000
0.0000 4.8534 0.0000
0.0000 0.0000 4.8534
Li Hg B
3 1 1
direct
0.0000 0.0000 0.5000
0.0000 0.5000 0.0000
0.5000 0.0000 0.0000
0.0000 0.0000 0.0000
0.5000 0.5000 0.5000
```

Properties
**Symmetry**: Pm-3m (221)
**Crystal system**: cubic
**Distance to the lowest polymorph of the same formula**: 13.82 kcal/mol of atoms
**E**: -0.119 Ry per atom
**DFT formation energy**: 0.9278 eV per atom

Among the records above, which one has the highest E? Li3HgB